Entry 1:
First-principles (PBE) data for an optimized crystal structure of Al2TePRu, as listed in Alexandria.

```
Al2TePRu
1.0
5.197 0.000 0.000
0.000 4.864 0.000
0.000 0.000 5.197
Ru Te Al P
1 1 2 1
direct
0.000 0.500 0.000 Ru
0.000 0.000 0.000 Te
0.000 0.000 0.500 Al
0.500 0.000 0.000 Al
0.500 0.500 0.500 P
```

Results
Electronic total energy, eV/cell: -18.3
Total magnetic moment, μB/f.u.: 1.3
Energy relative to the elements, uncorrected, meV per atom: 1407

***

Entry 2:
First-principles (PBE) data for an optimized crystal structure of Nd2SmPd4, as listed in Alexandria.

```
Nd2SmPd4
1.0
5.130 0.000 0.000
0.000 5.130 0.000
-2.565 -2.565 7.489
Nd Sm Pd
2 1 4
direct
0.634 0.634 0.269 Nd
0.366 0.366 0.731 Nd
0.000 0.000 0.000 Sm
0.817 0.817 0.633 Pd
0.183 0.183 0.367 Pd
0.000 0.500 0.000 Pd
0.500 0.000 0.000 Pd
```

Results
Electronic total energy, eV/cell: -36.2
Total magnetic moment, μB/f.u.: 0.0

***

Entry 3:
First-principles (PBE) data for an optimized crystal structure of In4Sn2B, as listed in Alexandria.

```
In4Sn2B
1.0
4.975 0.000 0.000
0.000 4.975 0.000
2.487 2.487 7.450
B Sn In
1 2 4
direct
0.000 0.000 0.000 B
0.643 0.643 0.714 Sn
0.357 0.357 0.286 Sn
0.840 0.840 0.321 In
0.160 0.160 0.679 In
0.000 0.500 0.000 In
0.500 0.000 0.000 In
```

Results
Electronic total energy, eV/cell: -22.8
Total magnetic moment, μB/f.u.: 0.0

***

Entry 4:
First-principles (PBE) data for an optimized crystal structure of RbAg2Pb2F7, as listed in Alexandria.

```
RbAg2Pb2F7
1.0
4.673 0.000 0.000
0.000 4.875 -0.004
-2.337 -2.444 10.296
Rb Ag Pb F
1 2 2 7
direct
0.000 0.002 0.000 Rb
0.277 0.770 0.553 Ag
0.723 0.217 0.447 Ag
0.387 0.390 0.775 Pb
0.613 0.616 0.225 Pb
0.401 0.906 0.801 F
0.751 0.744 0.502 F
0.090 0.591 0.179 F
0.599 0.106 0.199 F
0.249 0.242 0.498 F
0.910 0.410 0.821 F
0.500 0.506 0.000 F
```

Results
Electronic total energy, eV/cell: -50.6
Total magnetic moment, μB/f.u.: 0.0
Energy relative to the elements, uncorrected, meV per atom: -1949

***

Entry 5:
First-principles (PBE) data for an optimized crystal structure of RbCuS2Cl, as listed in Alexandria.

```
RbCuS2Cl
1.0
4.500 0.000 0.000
0.000 4.500 0.000
0.000 0.000 6.176
S Cu Rb Cl
2 1 1 1
direct
0.000 0.500 0.000 S
0.500 0.000 0.000 S
0.000 0.000 0.000 Cu
0.500 0.500 0.500 Rb
0.000 0.000 0.500 Cl
```

Results
Electronic total energy, eV/cell: -16.9
Relative energy among the computed polymorphs, eV per atom: 0.0000
Total magnetic moment, μB/f.u.: 1.0
Energy relative to the elements, uncorrected, meV per atom: -343

***

Entry 6:
First-principles (PBE) data for an optimized crystal structure of K2TlSe, as listed in Alexandria.

```
K2TlSe
1.0
-1.339 -3.555 -1.605
3.908 -1.810 0.750
1.607 -3.984 7.486
K Se Tl
2 1 1
direct
0.000 0.955 0.046 K
0.000 0.545 0.454 K
0.500 0.250 0.250 Se
0.500 0.750 0.750 Tl
```

Results
Electronic total energy, eV/cell: -10.2
Relative energy among the computed polymorphs, eV per atom: 0.0701
Total magnetic moment, μB/f.u.: 0.0
Energy relative to the elements, uncorrected, meV per atom: -546

***

Entry 7:
First-principles (PBE) data for an optimized crystal structure of Rb2HgGeCl6, as listed in Alexandria.

```
Rb2HgGeCl6
1.0
7.547 0.001 0.000
3.774 6.531 -0.003
3.775 2.173 6.056
Rb Hg Ge Cl
2 1 1 6
direct
0.565 0.566 0.302 Rb
0.066 0.066 0.804 Rb
0.316 0.316 0.051 Hg
0.816 0.816 0.551 Ge
0.568 0.112 0.307 Cl
0.112 0.014 0.301 Cl
0.012 0.570 0.304 Cl
0.521 0.619 0.801 Cl
0.621 0.062 0.798 Cl
0.065 0.521 0.796 Cl
```

Results
Electronic total energy, eV/cell: -30.1
Total magnetic moment, μB/f.u.: 0.0
Energy relative to the elements, uncorrected, meV per atom: -1215

***

Entry 8:
First-principles (PBE) data for an optimized crystal structure of Tb2Dy2Y6Er, as listed in Alexandria.

```
Tb2Dy2Y6Er
1.0
6.606 -0.612 -0.481
-3.797 5.440 -0.481
-1.915 -3.292 11.279
Tb Dy Y Er
2 2 6 1
direct
0.292 0.708 0.500 Tb
0.708 0.292 0.500 Tb
0.867 0.133 0.000 Dy
0.133 0.867 0.000 Dy
0.705 0.705 0.705 Y
0.145 0.449 0.797 Y
0.295 0.295 0.295 Y
0.449 0.145 0.797 Y
0.855 0.551 0.203 Y
0.551 0.855 0.203 Y
0.000 0.000 0.500 Er
```

Results
Electronic total energy, eV/cell: -60.2
Total magnetic moment, μB/f.u.: 0.0

***

Entry 9:
First-principles (PBE) data for an optimized crystal structure of ScTeRu2, as listed in Alexandria.

```
ScTeRu2
1.0
-3.270 -2.679 -3.067
2.073 -2.156 -4.281
1.146 0.124 5.094
Ru Sc Te
2 1 1
direct
0.000 0.000 0.000 Ru
0.750 0.250 0.500 Ru
0.500 0.500 0.000 Sc
0.250 0.750 0.500 Te
```

Results
Electronic total energy, eV/cell: -28.9
Total magnetic moment, μB/f.u.: 0.0
Energy relative to the elements, uncorrected, meV per atom: -223

***

Entry 10:
First-principles (PBE) data for an optimized crystal structure of GaSi3Cl, as listed in Alexandria.

```
GaSi3Cl
1.0
-0.725 -1.072 4.721
3.440 -3.473 -0.260
3.406 3.279 1.268
Si Ga Cl
3 1 1
direct
0.000 0.500 0.000 Si
0.000 0.000 0.500 Si
0.500 0.000 0.000 Si
0.000 0.000 0.000 Ga
0.500 0.500 0.500 Cl
```

Results
Electronic total energy, eV/cell: -16.3
Relative energy among the computed polymorphs, eV per atom: 0.0000
Total magnetic moment, μB/f.u.: 0.7
Energy relative to the elements, uncorrected, meV per atom: 968

***

Entry 11:
First-principles (PBE) data for an optimized crystal structure of YRe2Cl, as listed in Alexandria.

```
YRe2Cl
1.0
-0.462 -2.865 -1.261
3.084 -0.200 -0.676
1.548 -3.860 8.200
Cl Re Y
1 2 1
direct
0.500 0.500 0.672 Cl
0.000 0.000 0.106 Re
0.500 0.500 0.241 Re
0.000 0.000 0.480 Y
```

Results
Electronic total energy, eV/cell: -33.9
Relative energy among the computed polymorphs, eV per atom: 0.0217
Total magnetic moment, μB/f.u.: 0.0
Energy relative to the elements, uncorrected, meV per atom: -173

***

Entry 12:
First-principles (PBE) data for an optimized crystal structure of IrPtN2, as listed in Alexandria.

```
IrPtN2
1.0
-1.893 -1.440 -4.267
4.080 -2.508 -0.964
-0.623 -5.519 -0.657
Ir Pt N
2 2 4
direct
0.500 0.500 0.000 Ir
0.250 0.750 0.500 Ir
0.000 0.000 0.000 Pt
0.750 0.250 0.500 Pt
0.600 0.125 0.250 N
0.150 0.625 0.250 N
0.375 0.400 0.750 N
0.875 0.850 0.750 N
```

Results
Electronic total energy, eV/cell: -55.9
Relative energy among the computed polymorphs, eV per atom: 0.2820
Total magnetic moment, μB/f.u.: 0.0
Energy relative to the elements, uncorrected, meV per atom: 903